No. 1
The following is a GGA-PBE calculation of an optimized crystal structure of YAsSe2Br, from Alexandria.

Results
Density of states at the Fermi level, states/eV/f.u.: 4.52
Calculated density, g/cm³: 3.98
Energy relative to the elements, uncorrected, meV/atom: -16

```
YAsSe2Br
1.0
5.379 0.000 0.000
0.000 5.379 0.000
0.000 0.000 5.788
Y As Se Br
1 1 2 1
Cartesian
0.000 0.000 0.000 Y
0.000 0.000 2.894 As
0.000 2.690 0.000 Se
2.690 0.000 0.000 Se
2.690 2.690 2.894 Br
```



No. 2
The following is a GGA-PBE calculation of an optimized crystal structure of MnNiMo3, from Alexandria.

Results
Density of states at the Fermi level, states/eV/f.u.: 13.63
Energy of formation, eV/f.u.: 8.38
Calculated density, g/cm³: 7.74

```
MnNiMo3
1.0
4.416 0.000 0.000
0.000 4.416 0.000
0.000 0.000 4.416
Mn Ni Mo
1 1 3
Cartesian
0.000 0.000 0.000 Mn
2.208 2.208 2.208 Ni
0.000 2.208 2.208 Mo
2.208 0.000 2.208 Mo
2.208 2.208 0.000 Mo
```



No. 3
The following is a GGA-PBE calculation of an optimized crystal structure of La2BeW, from Alexandria.

Results
Density of states at the Fermi level, states/eV/f.u.: 3.58
Energy of formation, eV/f.u.: 1.26
Calculated density, g/cm³: 8.03

```
La2BeW
1.0
3.398 0.000 0.000
0.000 3.411 0.000
0.000 0.000 8.401
La Be W
2 1 1
Cartesian
0.000 0.000 0.000 La
1.699 1.705 3.624 La
1.699 1.705 6.475 Be
0.000 0.000 5.754 W
```



No. 4
The following is a GGA-PBE calculation of an optimized crystal structure of Mg2VReGe, from Alexandria.

Results
Density of states at the Fermi level, states/eV/f.u.: 9.78
Energy of formation, eV/f.u.: 6.04
Calculated density, g/cm³: 5.14

```
Mg2VReGe
1.0
4.962 0.000 0.000
0.000 4.962 0.000
0.000 0.000 4.706
Mg V Re Ge
2 1 1 1
Cartesian
0.000 2.481 0.000 Mg
2.481 0.000 0.000 Mg
0.000 0.000 2.353 V
2.481 2.481 0.000 Re
2.481 2.481 2.353 Ge
```



No. 5
The following is a GGA-PBE calculation of an optimized crystal structure of VHgS2, from Alexandria.

Results
Density of states at the Fermi level, states/eV/f.u.: 2.45
Calculated density, g/cm³: 6.41
Energy relative to the elements, uncorrected, meV/atom: -676

```
VHgS2
1.0
3.192 0.000 0.000
0.000 5.576 0.000
-0.067 0.000 9.190
V Hg S
2 2 4
Cartesian
0.729 0.000 9.189 V
2.396 2.788 0.000 V
0.082 3.827 4.608 Hg
3.043 1.039 4.581 Hg
0.736 3.720 7.723 S
0.804 3.720 1.467 S
2.321 0.932 7.722 S
2.390 0.932 1.466 S
```



No. 6
The following is a GGA-PBE calculation of an optimized crystal structure of K2TlIn3Au4, from Alexandria.

Results
Density of states at the Fermi level, states/eV/f.u.: 4.16
Energy of formation, eV/f.u.: -2.74
Calculated density, g/cm³: 8.50

```
K2TlIn3Au4
1.0
5.099 0.000 0.000
0.000 5.099 0.000
0.000 0.000 10.634
K Tl In Au
2 1 3 4
Cartesian
0.000 2.549 2.545 K
2.549 0.000 8.089 K
0.000 0.000 5.317 Tl
0.000 2.549 9.445 In
2.549 0.000 1.189 In
2.549 2.549 5.317 In
0.000 0.000 0.000 Au
0.000 2.549 6.690 Au
2.549 0.000 3.943 Au
2.549 2.549 0.000 Au
```



No. 7
The following is a GGA-PBE calculation of an optimized crystal structure of MnIrCl3, from Alexandria.

Results
Density of states at the Fermi level, states/eV/f.u.: 14.22
Calculated density, g/cm³: 6.33
Energy relative to the elements, uncorrected, meV/atom: 962

```
MnIrCl3
1.0
4.527 0.000 0.000
0.000 4.527 0.000
0.000 0.000 4.527
Mn Ir Cl
1 1 3
Cartesian
0.000 0.000 0.000 Mn
2.264 2.264 2.264 Ir
0.000 0.000 2.264 Cl
0.000 2.264 0.000 Cl
2.264 0.000 0.000 Cl
```



No. 8
The following is a GGA-PBE calculation of an optimized crystal structure of La4NdGa3, from Alexandria.

Results
Density of states at the Fermi level, states/eV/f.u.: 7.26
Energy of formation, eV/f.u.: -3.73
Calculated density, g/cm³: 6.52

```
La4NdGa3
1.0
-6.153 6.153 3.060
6.153 -6.153 3.060
6.153 6.153 -3.060
La Nd Ga
8 2 6
Cartesian
9.624 1.085 0.000 La
1.085 2.682 0.000 La
7.238 3.471 0.000 La
3.471 5.068 0.000 La
2.682 1.085 3.060 La
-1.085 2.682 3.060 La
5.068 3.471 3.060 La
-3.471 5.068 3.060 La
6.153 0.000 1.530 Nd
0.000 6.153 1.530 Nd
4.209 1.944 0.000 Ga
0.000 0.000 1.530 Ga
4.209 -1.944 3.060 Ga
1.944 8.097 0.000 Ga
0.000 0.000 4.590 Ga
1.944 4.209 3.060 Ga
```